1.
## AcHo7Tm3 (GGA-PBE)

Data for a relaxed AcHo7Tm3 crystal.

Results
- energy of formation (eV/atom) = 0.22
- symmetry = P3m1, No. 156
- offset from the most stable computed form (meV/atom) = 70

Structure (POSCAR):
```
AcHo7Tm3
1.0
7.063 0.000 0.000
-3.532 6.117 0.000
0.000 0.000 8.601
Ac Ho Tm
1 7 3
direct
0.000 0.000 0.000 Ac
0.166 0.333 0.335 Ho
0.166 0.834 0.335 Ho
0.502 0.003 0.999 Ho
0.502 0.498 0.999 Ho
0.667 0.333 0.331 Ho
0.667 0.834 0.335 Ho
0.997 0.498 0.999 Ho
0.338 0.169 0.660 Tm
0.831 0.169 0.660 Tm
0.831 0.662 0.660 Tm
```

***

2.
## AcY3HoTm (GGA-PBE)

Data for a relaxed AcY3HoTm crystal.

Results
- energy of formation (eV/atom) = 0.22
- symmetry = C2/m, No. 12

Structure (POSCAR):
```
AcY3HoTm
1.0
11.524 -2.693 0.000
11.524 2.693 0.000
-1.004 0.000 6.941
Ac Y Ho Tm
2 6 2 2
direct
0.127 0.127 0.482 Ac
0.873 0.873 0.518 Ac
0.022 0.022 0.784 Y
0.275 0.275 0.691 Y
0.320 0.320 0.214 Y
0.680 0.680 0.786 Y
0.725 0.725 0.309 Y
0.978 0.978 0.216 Y
0.425 0.425 0.888 Ho
0.575 0.575 0.112 Ho
0.167 0.167 0.025 Tm
0.833 0.833 0.975 Tm
```

***

3.
## AcY6Ho2Tm (GGA-PBE)

Data for a relaxed AcY6Ho2Tm crystal.

Results
- energy of formation (eV/atom) = 0.13
- symmetry = C2/c, No. 15

Structure (POSCAR):
```
AcY6Ho2Tm
1.0
4.648 -7.621 0.000
4.648 7.621 0.000
-0.789 0.000 9.460
Ac Y Ho Tm
2 12 4 2
direct
0.031 0.969 0.750 Ac
0.969 0.031 0.250 Ac
0.007 0.553 0.682 Y
0.128 0.756 0.057 Y
0.244 0.872 0.443 Y
0.287 0.512 0.888 Y
0.447 0.993 0.818 Y
0.488 0.713 0.612 Y
0.512 0.287 0.388 Y
0.553 0.007 0.182 Y
0.713 0.488 0.112 Y
0.756 0.128 0.557 Y
0.872 0.244 0.943 Y
0.993 0.447 0.318 Y
0.204 0.316 0.552 Ho
0.316 0.204 0.052 Ho
0.684 0.796 0.948 Ho
0.796 0.684 0.448 Ho
0.414 0.586 0.250 Tm
0.586 0.414 0.750 Tm
```

***

Calculated E (eV per atom), listed in the same order as above: -4.28, -5.20, -5.52